1.
This record from Alexandria describes a geometry-optimized DyYSc2Hg4 structure. The functional is PBE-GGA.

Results
Symmetry   R-3m (166)
VASP energy   -28.57 eV/cell
Density of states at the Fermi level   7.68 states/eV per cell

a b c (Å): 5.1299 5.1299 8.8858
angles (deg): 73.22 73.22 60.00
Closest atoms and distances in Å follow each position.
Element x y z (fractional)
Hg 0.8746 0.8746 0.3761  4 Sc 3.13-3.14, 3 Dy 3.14, 1 Y 3.15
Hg 0.1254 0.1254 0.6239  4 Sc 3.13-3.14, 3 Dy 3.14, 1 Y 3.15
Hg 0.3753 0.3753 0.8740  1 Dy 3.13, 4 Sc 3.14-3.15, 3 Y 3.14
Sc 0.2500 0.2500 0.2499  8 Hg 3.13-3.15
Dy 0.5000 0.5000 0.5000  8 Hg 3.13-3.14
Hg 0.6247 0.6247 0.1260  1 Dy 3.13, 4 Sc 3.14-3.15, 3 Y 3.14
Sc 0.7500 0.7500 0.7501  8 Hg 3.13-3.15
Y 0.0000 0.0000 0.0000  8 Hg 3.14-3.15

2.
This record from Alexandria describes a geometry-optimized DyHg2Se structure. The functional is PBE-GGA.

Results
Symmetry   R-3m (166)
VASP energy   -8.04 eV/cell
Density of states at the Fermi level   3.22 states/eV per cell
Formation energy without anion corrections   162 meV/atom

a b c (Å): 3.5080 3.5080 10.8015
angles (deg): 80.65 80.65 60.00
Closest atoms and distances in Å follow each position.
Element x y z (fractional)
Dy 0.0000 0.0000 0.0000  2 Hg 3.00
Hg 0.0943 0.0943 0.7171  1 Dy 3.00, 3 Se 3.07
Hg 0.9057 0.9057 0.2829  1 Dy 3.00, 3 Se 3.07
Se 0.5000 0.5000 0.5000  6 Hg 3.07

3.
This record from Alexandria describes a geometry-optimized Dy6HgSe4 structure. The functional is PBE-GGA.

Results
Symmetry   Cmcm (63)
VASP energy   -114.08 eV/cell
Density of states at the Fermi level   12.12 states/eV per cell
Formation energy without anion corrections   -1381 meV/atom

a b c (Å): 4.0536 7.0125 20.7399
angles (deg): 90.00 90.00 106.80
Closest atoms and distances in Å follow each position.
Element x y z (fractional)
Se 0.8611 0.7222 0.9606  6 Dy 2.87-2.90
Se 0.5891 0.1782 0.8765  6 Dy 2.81-2.87
Dy 0.2285 0.4570 0.5878  5 Se 2.86-2.90
Se 0.5891 0.1782 0.6235  6 Dy 2.81-2.87
Dy 0.0479 0.0958 0.1646  3 Se 2.87, 2 Hg 3.11
Dy 0.2285 0.4570 0.9122  5 Se 2.86-2.90
Se 0.4109 0.8218 0.3765  6 Dy 2.81-2.87
Dy 0.9521 0.9042 0.6646  3 Se 2.87, 2 Hg 3.11
Se 0.1389 0.2778 0.0394  6 Dy 2.87-2.90
Se 0.8611 0.7222 0.5394  6 Dy 2.87-2.90
Hg 0.6642 0.3284 0.2500  6 Dy 3.06-3.11
Dy 0.7715 0.5430 0.4122  5 Se 2.86-2.90
Dy 0.5000 0.0000 0.5000  6 Se 2.83-2.87
Hg 0.3358 0.6716 0.7500  6 Dy 3.06-3.11
Dy 0.5000 0.0000 0.0000  6 Se 2.83-2.87
Se 0.4109 0.8218 0.1235  6 Dy 2.81-2.87
Se 0.1389 0.2778 0.4606  6 Dy 2.87-2.90
Dy 0.0479 0.0958 0.3354  3 Se 2.87, 2 Hg 3.11
Dy 0.6650 0.3299 0.7500  2 Se 2.81, 2 Hg 3.06
Dy 0.7715 0.5430 0.0878  5 Se 2.86-2.90
Dy 0.9521 0.9042 0.8354  3 Se 2.87, 2 Hg 3.11
Dy 0.3350 0.6701 0.2500  2 Se 2.81, 2 Hg 3.06

4.
This record from Alexandria describes a geometry-optimized Dy4HgSe3 structure. The functional is PBE-GGA.

Results
Symmetry   Cmmm (65)
VASP energy   -40.51 eV/cell
Density of states at the Fermi level   2.91 states/eV per cell
Formation energy without anion corrections   -1418 meV/atom

a b c (Å): 4.0354 7.2431 7.2431
angles (deg): 108.33 90.00 90.00
Closest atoms and distances in Å follow each position.
Element x y z (fractional)
Dy 0.5000 0.7492 0.2508  5 Se 2.93, 1 Hg 2.94
Se 0.0000 0.5000 0.0000  6 Dy 2.93-2.94
Dy 0.0000 0.2539 0.2539  4 Se 2.90-2.94, 2 Hg 2.95
Dy 0.0000 0.7461 0.7461  4 Se 2.90-2.94, 2 Hg 2.95
Se 0.0000 0.0000 0.5000  6 Dy 2.93-2.94
Hg 0.5000 0.0000 0.0000  6 Dy 2.94-2.95
Se 0.5000 0.5000 0.5000  6 Dy 2.90-2.93
Dy 0.5000 0.2508 0.7492  5 Se 2.93, 1 Hg 2.94

5.
This record from Alexandria describes a geometry-optimized Dy3HgSe2 structure. The functional is PBE-GGA.

Results
Symmetry   Immm (71)
VASP energy   -29.01 eV/cell
Density of states at the Fermi level   2.98 states/eV per cell
Formation energy without anion corrections   -1322 meV/atom

a b c (Å): 4.0114 5.9104 7.3636
angles (deg): 113.66 105.82 90.00
Closest atoms and distances in Å follow each position.
Element x y z (fractional)
Dy 0.1745 0.1744 0.3488  4 Se 2.88-2.96, 2 Hg 3.01
Dy 0.8255 0.8256 0.6512  4 Se 2.88-2.96, 2 Hg 3.01
Se 0.8351 0.3351 0.6701  6 Dy 2.88-2.96
Se 0.1649 0.6649 0.3299  6 Dy 2.88-2.96
Dy 0.5000 0.5000 0.0000  4 Se 2.92, 2 Hg 2.96
Hg 0.5000 0.0000 0.0000  6 Dy 2.96-3.01

6.
This record from Alexandria describes a geometry-optimized Dy3HgSe structure. The functional is PBE-GGA.

Results
Symmetry   Pnma (62)
VASP energy   -88.11 eV/cell
Density of states at the Fermi level   15.00 states/eV per cell
Formation energy without anion corrections   -887 meV/atom

a b c (Å): 3.9888 8.9632 15.2347
angles (deg): 90.00 90.00 90.00
Closest atoms and distances in Å follow each position.
Element x y z (fractional)
Se 0.2500 0.3170 0.9489  6 Dy 2.81-2.86
Dy 0.7500 0.0219 0.6105  3 Se 2.85-2.86, 1 Hg 3.18
Se 0.7500 0.6830 0.0511  6 Dy 2.81-2.86
Hg 0.2500 0.0863 0.1909  7 Dy 3.08-3.19
Dy 0.7500 0.8166 0.2183  1 Se 2.81
Dy 0.7500 0.1561 0.0421  2 Se 2.84, 2 Hg 3.08
Hg 0.7500 0.4137 0.6909  7 Dy 3.08-3.19
Hg 0.2500 0.5863 0.3091  7 Dy 3.08-3.19
Dy 0.7500 0.5219 0.8895  3 Se 2.85-2.86, 1 Hg 3.18
Dy 0.2500 0.4781 0.1105  3 Se 2.85-2.86, 1 Hg 3.18
Hg 0.7500 0.9137 0.8091  7 Dy 3.08-3.19
Dy 0.2500 0.3439 0.5421  2 Se 2.84, 2 Hg 3.08
Se 0.2500 0.8170 0.5511  6 Dy 2.81-2.86
Dy 0.2500 0.6834 0.7183  1 Se 2.81
Dy 0.2500 0.1834 0.7817  1 Se 2.81
Dy 0.2500 0.9781 0.3895  3 Se 2.85-2.86, 1 Hg 3.18
Dy 0.7500 0.6561 0.4579  2 Se 2.84, 2 Hg 3.08
Dy 0.7500 0.3166 0.2817  1 Se 2.81
Dy 0.2500 0.8439 0.9579  2 Se 2.84, 2 Hg 3.08
Se 0.7500 0.1830 0.4489  6 Dy 2.81-2.86

7.
This record from Alexandria describes a geometry-optimized Dy2HgSe structure. The functional is PBE-GGA.

Results
Symmetry   R3m (160)
VASP energy   -17.10 eV/cell
Density of states at the Fermi level   3.00 states/eV per cell
Formation energy without anion corrections   -1029 meV/atom
Distance to the lowest polymorph of the same formula   25.8 kJ/mol of formula units

a b c (Å): 3.9058 3.9058 8.2519
angles (deg): 76.31 76.31 60.00
Closest atoms and distances in Å follow each position.
Element x y z (fractional)
Hg 0.4995 0.4995 0.5014  6 Dy 3.13-3.14
Dy 0.0748 0.0748 0.7757  3 Se 2.85, 3 Hg 3.13
Se 0.6679 0.6679 0.9963  6 Dy 2.85-2.90
Dy 0.2578 0.2578 0.2266  3 Se 2.90, 3 Hg 3.14

8.
This record from Alexandria describes a geometry-optimized Dy2HgSe structure. The functional is PBE-GGA.

Results
Symmetry   R-3m (166)
VASP energy   -17.37 eV/cell
Density of states at the Fermi level   2.19 states/eV per cell
Formation energy without anion corrections   -1095 meV/atom
Distance to the lowest polymorph of the same formula   0.0 kJ/mol of formula units

a b c (Å): 3.9862 3.9862 7.9271
angles (deg): 90.00 104.56 120.01
Closest atoms and distances in Å follow each position.
Element x y z (fractional)
Dy 0.4865 0.7432 0.2297  3 Se 2.89, 3 Hg 3.08
Se 0.0000 0.0000 0.0000  6 Dy 2.89
Dy 0.5135 0.2568 0.7702  3 Se 2.89, 3 Hg 3.08
Hg 0.0000 0.5000 0.5000  6 Dy 3.08

9.
This record from Alexandria describes a geometry-optimized Dy6HgSe5 structure. The functional is PBE-GGA.

Results
Symmetry   C2/m (12)
VASP energy   -63.87 eV/cell
Density of states at the Fermi level   3.83 states/eV per cell
Formation energy without anion corrections   -1545 meV/atom

a b c (Å): 7.1209 7.1565 7.1354
angles (deg): 59.90 80.42 70.62
Closest atoms and distances in Å follow each position.
Element x y z (fractional)
Dy 0.2502 0.5806 0.3362  5 Se 2.89-2.92, 1 Hg 2.93
Dy 0.7502 0.7474 0.0000  5 Se 2.90-2.93, 1 Hg 2.93
Se 0.0000 0.6661 0.6677  6 Dy 2.90-2.91
Dy 0.2502 0.9168 0.6638  5 Se 2.89-2.92, 1 Hg 2.93
Se 0.0000 0.3339 0.3323  6 Dy 2.90-2.91
Se 0.5000 0.1672 0.6655  6 Dy 2.89-2.93
Hg 0.0000 0.0000 0.0000  6 Dy 2.93
Se 0.5000 0.5000 0.0000  6 Dy 2.90-2.92
Dy 0.2498 0.2526 0.0000  5 Se 2.90-2.93, 1 Hg 2.93
Se 0.5000 0.8328 0.3345  6 Dy 2.89-2.93
Dy 0.7498 0.0832 0.3362  5 Se 2.89-2.92, 1 Hg 2.93
Dy 0.7498 0.4194 0.6638  5 Se 2.89-2.92, 1 Hg 2.93

10.
This record from Alexandria describes a geometry-optimized Dy4HgTe2Se structure. The functional is PBE-GGA.

Results
Symmetry   P2/m (10)
VASP energy   -38.12 eV/cell
Density of states at the Fermi level   3.29 states/eV per cell
Formation energy without anion corrections   -1205 meV/atom

a b c (Å): 4.1615 7.5247 7.4845
angles (deg): 71.90 90.00 90.00
Closest atoms and distances in Å follow each position.
Element x y z (fractional)
Dy 0.0000 0.2730 0.2410  2 Se 2.93, 1 Hg 2.96, 3 Te 3.13-3.14
Dy 0.5000 0.7346 0.2558  2 Hg 2.96, 1 Se 2.98, 3 Te 3.10
Te 0.0000 0.0000 0.0000  6 Dy 3.10-3.13
Se 0.5000 0.5000 0.0000  6 Dy 2.93-2.98
Dy 0.0000 0.7270 0.7590  2 Se 2.93, 1 Hg 2.96, 3 Te 3.13-3.14
Te 0.5000 0.0000 0.5000  6 Dy 3.10-3.14
Dy 0.5000 0.2654 0.7442  2 Hg 2.96, 1 Se 2.98, 3 Te 3.10
Hg 0.0000 0.5000 0.5000  6 Dy 2.96

11.
This record from Alexandria describes a geometry-optimized Dy8HgTe4Se3 structure. The functional is PBE-GGA.

Results
Symmetry   C2/m (12)
VASP energy   -82.08 eV/cell
Density of states at the Fermi level   8.75 states/eV per cell
Formation energy without anion corrections   -1372 meV/atom

a b c (Å): 8.4575 8.5611 8.4573
angles (deg): 119.60 120.00 90.00
Closest atoms and distances in Å follow each position.
Element x y z (fractional)
Dy 0.2431 0.7262 0.9835  2 Se 2.91, 1 Hg 2.92, 3 Te 3.10-3.12
Te 0.0000 0.0000 0.0000  6 Dy 3.12-3.16
Se 0.0000 0.5000 0.5000  6 Dy 2.88-2.91
Te 0.5000 0.0000 0.0000  6 Dy 3.10
Dy 0.7385 0.7168 0.4770  3 Se 2.87-2.88, 3 Te 3.15-3.16
Se 0.5000 0.5000 0.0000  6 Dy 2.87-2.91
Hg 0.0000 0.5000 0.0000  6 Dy 2.92
Dy 0.7572 0.2749 0.5143  2 Se 2.90, 1 Hg 2.92, 3 Te 3.10-3.12
Dy 0.7405 0.7262 0.9835  2 Se 2.91, 1 Hg 2.92, 3 Te 3.10-3.12
Te 0.5000 0.0000 0.5000  6 Dy 3.11-3.15
Te 0.0000 0.0000 0.5000  6 Dy 3.11-3.15
Se 0.5000 0.5000 0.5000  6 Dy 2.88-2.91
Dy 0.2428 0.7251 0.4857  2 Se 2.90, 1 Hg 2.92, 3 Te 3.10-3.12
Dy 0.2595 0.2738 0.0165  2 Se 2.91, 1 Hg 2.92, 3 Te 3.10-3.12
Dy 0.2615 0.2832 0.5230  3 Se 2.87-2.88, 3 Te 3.15-3.16
Dy 0.7569 0.2738 0.0165  2 Se 2.91, 1 Hg 2.92, 3 Te 3.10-3.12

12.
This record from Alexandria describes a geometry-optimized Dy4HgTeSe2 structure. The functional is PBE-GGA.

Results
Symmetry   P2/m (10)
VASP energy   -39.23 eV/cell
Density of states at the Fermi level   3.23 states/eV per cell
Formation energy without anion corrections   -1302 meV/atom

a b c (Å): 4.0703 7.4299 7.3153
angles (deg): 72.25 90.00 90.00
Closest atoms and distances in Å follow each position.
Element x y z (fractional)
Se 0.5000 0.0000 0.5000  6 Dy 2.87-2.91
Hg 0.0000 0.5000 0.5000  6 Dy 3.00-3.01
Te 0.5000 0.5000 0.0000  6 Dy 3.05-3.09
Dy 0.0000 0.2314 0.2657  3 Se 2.87-2.96, 1 Hg 3.00, 2 Te 3.09
Se 0.0000 0.0000 0.0000  6 Dy 2.94-2.96
Dy 0.0000 0.7686 0.7343  3 Se 2.87-2.96, 1 Hg 3.00, 2 Te 3.09
Dy 0.5000 0.2390 0.7497  3 Se 2.91-2.94, 2 Hg 3.01, 1 Te 3.05
Dy 0.5000 0.7610 0.2503  3 Se 2.91-2.94, 2 Hg 3.01, 1 Te 3.05